Material: LiCr2P2O10
Method: DFT, GGA+U
State: optimized geometry

a b c (Å): 6.842 7.070 7.897
angles (deg): 90.47 90.67 117.36
Site moments in Bohr magnetons follow the coordinates.
Element x y z (fractional)
1 Cr 0.747 0.982 0.242  1.68
2 Cr 0.251 0.520 0.741  1.70
3 Cr 0.251 0.024 0.755  2.29
4 Cr 0.758 0.482 0.252  2.25
5 O 0.228 0.739 0.694  -0.40
6 O 0.930 0.337 0.759  -0.05
7 O 0.763 0.580 0.493  -0.04
8 O 0.226 0.414 0.513  -0.02
9 O 0.066 0.663 0.236  -0.08
10 O 0.163 0.907 0.985  -0.02
11 O 0.768 0.251 0.325  -0.23
12 O 0.060 0.100 0.308  -0.03
13 O 0.434 0.357 0.262  -0.05
14 O 0.565 0.654 0.734  -0.07
15 O 0.731 0.405 0.011  -0.02
16 O 0.455 0.914 0.182  -0.01
17 O 0.555 0.088 0.808  -0.03
18 O 0.663 0.892 0.478  -0.02
19 O 0.272 0.272 0.828  -0.27
20 O 0.953 0.908 0.682  -0.07
21 O 0.856 0.118 0.024  -0.02
22 O 0.732 0.747 0.190  -0.40
23 O 0.255 0.588 0.988  -0.02
24 O 0.359 0.133 0.526  -0.02
25 P 0.270 0.252 0.409  0.01
26 P 0.768 0.240 0.908  0.01
27 P 0.234 0.765 0.092  0.01
28 P 0.737 0.754 0.591  0.01
29 Li 0.194 0.211 0.069  0.00
30 Li 0.682 0.183 0.565  0.00

## Properties
E_tot (eV/atom): -7.01
Total moment (Bohr magnetons per cell): 6.0